1.
VASP calculation (PBE-GGA) on a relaxed structure of LuThGa2.

Calculated values
Its magnetization is 0.00 μB per cell. As for the energy: -19.848 eV for the cell shown. Its formation energy is -0.46 eV/atom.

The structure in POSCAR format:
```
LuThGa2
1.0
0.0000 3.6114 3.6114
3.6114 0.0000 3.6114
3.6114 3.6114 0.0000
Lu Th Ga
1 1 2
Direct
0.0000 0.0000 0.0000 Lu
0.5000 0.5000 0.5000 Th
0.2500 0.2500 0.2500 Ga
0.7500 0.7500 0.7500 Ga
```

---

2.
VASP calculation (PBE-GGA) on a relaxed structure of BaLi2ZnAu.

Calculated values
Its magnetization is 0.00 μB per cell. As for the energy: -11.281 eV for the cell shown. Its formation energy is -0.20 eV/atom.

The structure in POSCAR format:
```
BaLi2ZnAu
1.0
5.0310 0.0000 0.0000
0.0000 5.0310 0.0000
0.0000 0.0000 5.0821
Ba Li Zn Au
1 2 1 1
Direct
0.0000 0.0000 0.0000 Ba
0.0000 0.5000 0.5000 Li
0.5000 0.0000 0.5000 Li
0.5000 0.5000 0.5000 Zn
0.5000 0.5000 0.0000 Au
```

---

3.
VASP calculation (PBE-GGA) on a relaxed structure of HgAu2Br.

Calculated values
Its magnetization is 0.00 μB per cell. As for the energy: -7.866 eV for the cell shown.

The structure in POSCAR format:
```
HgAu2Br
1.0
-1.6700 3.3176 4.4400
1.6700 -3.3176 4.4400
1.6700 3.3176 -4.4400
Hg Au Br
1 2 1
Direct
0.0000 0.0000 0.0000 Hg
0.2466 0.7466 0.5000 Au
0.7534 0.2534 0.5000 Au
0.5000 0.5000 0.0000 Br
```

---

4.
VASP calculation (PBE-GGA) on a relaxed structure of LiBiSN2.

Calculated values
Its magnetization is 2.91 μB per cell. As for the energy: -20.752 eV for the cell shown.

The structure in POSCAR format:
```
LiBiSN2
1.0
4.4506 0.0000 0.0000
0.0000 4.4506 0.0000
0.0000 0.0000 5.4177
Li Bi S N
1 1 1 2
Direct
0.0000 0.0000 0.0000 Li
0.5000 0.5000 0.5000 Bi
0.5000 0.5000 0.0000 S
0.0000 0.5000 0.5000 N
0.5000 0.0000 0.5000 N
```